A plane-wave DFT calculation with PBE-GGA was carried out for a geometry-optimized V3CrFe2 structure.

Cell lengths 2.8902, 2.8902, 8.5991 Å; angles 90.00, 90.00, 90.00 degrees
Last column: nearest neighbours and their distance in Å.
Sites, in units of the cell vectors:
V 0.0000 0.0000 0.0000  8 Fe 2.48
V 0.0000 0.0000 0.6643  4 Cr 2.48, 4 Fe 2.53
V 0.0000 0.0000 0.3357  4 Cr 2.48, 4 Fe 2.53
Cr 0.5000 0.5000 0.5000  8 V 2.48
Fe 0.5000 0.5000 0.8372  8 V 2.48-2.53
Fe 0.5000 0.5000 0.1628  8 V 2.48-2.53

Calculated values
ΔH_f (0 K) (eV/atom): -0.144
Polymorph energy (0 for the lowest one) (eV per formula unit): 0.05
DOS(E_F) (states/eV/atom): 0.819
Space-group type: P4/mmm (123)
M_tot (Bohr magnetons per cell): 0.76
E_tot (eV per atom): -9.128